# MgHgAs2 | Alexandria | GGA-PBEsol | optimized geometry
# Relative energy among the computed polymorphs (meV/atom): 11
# Energy of formation from the pure elements (eV per atom): -0.047
data_MgHgAs2
_symmetry_space_group_name_H-M 'C 1 2/m 1'
_symmetry_Int_Tables_number 12
_cell_length_a 5.721
_cell_length_b 7.456
_cell_length_c 4.192
_cell_angle_alpha 90.00
_cell_angle_beta 111.41
_cell_angle_gamma 90.00
loop_
_symmetry_equiv_pos_as_xyz
'x,y,z'
'-x,-y,-z'
'-x,y,-z'
'x,-y,z'
'x+1/2,y+1/2,z'
'-x+1/2,-y+1/2,-z'
'-x+1/2,y+1/2,-z'
'x+1/2,-y+1/2,z'
loop_
_atom_site_label
_atom_site_type_symbol
_atom_site_fract_x
_atom_site_fract_y
_atom_site_fract_z
_atom_site_occupancy
Mg1 Mg 0.000 0.000 0.000 1
Hg1 Hg 0.000 0.500 0.000 1
As1 As 0.250 0.250 0.500 1

=====

# MgHgAs2 | Alexandria | GGA-PBEsol | optimized geometry
# Relative energy among the computed polymorphs (meV/atom): 0
# Energy of formation from the pure elements (eV per atom): -0.058
data_MgHgAs2
_symmetry_space_group_name_H-M 'C 1 2/m 1'
_symmetry_Int_Tables_number 12
_cell_length_a 10.259
_cell_length_b 3.522
_cell_length_c 4.874
_cell_angle_alpha 90.00
_cell_angle_beta 96.65
_cell_angle_gamma 90.00
loop_
_symmetry_equiv_pos_as_xyz
'x,y,z'
'-x,-y,-z'
'-x,y,-z'
'x,-y,z'
'x+1/2,y+1/2,z'
'-x+1/2,-y+1/2,-z'
'-x+1/2,y+1/2,-z'
'x+1/2,-y+1/2,z'
loop_
_atom_site_label
_atom_site_type_symbol
_atom_site_fract_x
_atom_site_fract_y
_atom_site_fract_z
_atom_site_occupancy
Mg1 Mg 0.000 0.000 0.000 1
Hg1 Hg 0.000 0.500 0.500 1
As1 As 0.247 0.000 0.817 1

=====

# MgHgAs | Alexandria | GGA-PBEsol | optimized geometry
# Energy of formation from the pure elements (eV per atom): -0.112
data_MgHgAs
_symmetry_space_group_name_H-M 'I m m 2'
_symmetry_Int_Tables_number 44
_cell_length_a 3.300
_cell_length_b 3.971
_cell_length_c 9.397
_cell_angle_alpha 90.00
_cell_angle_beta 90.00
_cell_angle_gamma 90.00
loop_
_symmetry_equiv_pos_as_xyz
'x,y,z'
'-x,-y,z'
'-x,y,z'
'x,-y,z'
'x+1/2,y+1/2,z+1/2'
'-x+1/2,-y+1/2,z+1/2'
'-x+1/2,y+1/2,z+1/2'
'x+1/2,-y+1/2,z+1/2'
loop_
_atom_site_label
_atom_site_type_symbol
_atom_site_fract_x
_atom_site_fract_y
_atom_site_fract_z
_atom_site_occupancy
Mg1 Mg 0.000 0.000 0.000 1
Hg1 Hg 0.000 0.000 0.318 1
As1 As 0.000 0.000 0.635 1

=====

# MgHgAs2Os | Alexandria | GGA-PBEsol | optimized geometry
# Energy of formation from the pure elements (eV per atom): 1.604
data_MgHgAs2Os
_symmetry_space_group_name_H-M 'P 4/m m m'
_symmetry_Int_Tables_number 123
_symmetry_space_group_name_Hall '-P 4 2'
_cell_length_a 5.005
_cell_length_b 5.005
_cell_length_c 5.061
_cell_angle_alpha 90.00
_cell_angle_beta 90.00
_cell_angle_gamma 90.00
loop_
_atom_site_label
_atom_site_type_symbol
_atom_site_fract_x
_atom_site_fract_y
_atom_site_fract_z
_atom_site_occupancy
Mg1 Mg 0.000 0.000 0.000 1
Hg1 Hg 0.500 0.500 0.500 1
As1 As 0.000 0.500 0.500 1
Os1 Os 0.500 0.500 0.000 1

=====

# Mn2HgAs | Alexandria | GGA-PBEsol | optimized geometry
# Energy of formation from the pure elements (eV per atom): 0.225
data_Mn2HgAs
_symmetry_space_group_name_H-M 'P 4 m m'
_symmetry_Int_Tables_number 99
_cell_length_a 3.113
_cell_length_b 3.113
_cell_length_c 6.668
_cell_angle_alpha 90.00
_cell_angle_beta 90.00
_cell_angle_gamma 90.00
loop_
_symmetry_equiv_pos_as_xyz
'x,y,z'
'-y,x,z'
'-x,-y,z'
'y,-x,z'
'-x,y,z'
'y,x,z'
'x,-y,z'
'-y,-x,z'
loop_
_atom_site_label
_atom_site_type_symbol
_atom_site_fract_x
_atom_site_fract_y
_atom_site_fract_z
_atom_site_occupancy
Mn1 Mn 0.000 0.000 0.000 1
Mn2 Mn 0.500 0.500 0.229 1
Hg1 Hg 0.500 0.500 0.737 1
As1 As 0.000 0.000 0.386 1

=====

# MnHg2As | Alexandria | GGA-PBEsol | optimized geometry
# Energy of formation from the pure elements (eV per atom): 0.293
data_MnHg2As
_symmetry_space_group_name_H-M 'C m m m'
_symmetry_Int_Tables_number 65
_symmetry_space_group_name_Hall '-C 2 2'
_cell_length_a 5.640
_cell_length_b 5.718
_cell_length_c 5.063
_cell_angle_alpha 90.00
_cell_angle_beta 90.00
_cell_angle_gamma 90.00
loop_
_atom_site_label
_atom_site_type_symbol
_atom_site_fract_x
_atom_site_fract_y
_atom_site_fract_z
_atom_site_occupancy
Mn1 Mn 0.000 0.000 0.000 1
Hg1 Hg 0.000 0.247 0.500 1
As1 As 0.000 0.500 0.000 1

=====

# MnHg2As | Alexandria | GGA-PBEsol | optimized geometry
# Energy of formation from the pure elements (eV per atom): 0.188
data_MnHg2As
_symmetry_space_group_name_H-M 'C 1 m 1'
_symmetry_Int_Tables_number 8
_cell_length_a 8.246
_cell_length_b 3.060
_cell_length_c 6.744
_cell_angle_alpha 90.00
_cell_angle_beta 109.21
_cell_angle_gamma 90.00
loop_
_symmetry_equiv_pos_as_xyz
'x,y,z'
'x,-y,z'
'x+1/2,y+1/2,z'
'x+1/2,-y+1/2,z'
loop_
_atom_site_label
_atom_site_type_symbol
_atom_site_fract_x
_atom_site_fract_y
_atom_site_fract_z
_atom_site_occupancy
Mn1 Mn 0.000 0.000 0.000 1
Hg1 Hg 0.169 0.500 0.354 1
Hg2 Hg 0.470 0.000 0.644 1
As1 As 0.286 0.000 0.999 1

=====

# MnHgAs2Se | Alexandria | GGA-PBEsol | optimized geometry
# Raw formation energy (eV/atom): 0.301
data_MnHgAs2Se
_symmetry_space_group_name_H-M 'P 4/m m m'
_symmetry_Int_Tables_number 123
_symmetry_space_group_name_Hall '-P 4 2'
_cell_length_a 4.485
_cell_length_b 4.485
_cell_length_c 5.083
_cell_angle_alpha 90.00
_cell_angle_beta 90.00
_cell_angle_gamma 90.00
loop_
_atom_site_label
_atom_site_type_symbol
_atom_site_fract_x
_atom_site_fract_y
_atom_site_fract_z
_atom_site_occupancy
Mn1 Mn 0.000 0.000 0.000 1
Hg1 Hg 0.500 0.500 0.500 1
As1 As 0.000 0.500 0.000 1
Se1 Se 0.000 0.000 0.500 1

=====

# HgMo3As | Alexandria | GGA-PBEsol | optimized geometry
# Energy of formation from the pure elements (eV per atom): 2.693
data_HgMo3As
_symmetry_space_group_name_H-M 'P m -3 m'
_symmetry_Int_Tables_number 221
_symmetry_space_group_name_Hall '-P 4 2 3'
_cell_length_a 4.874
_cell_length_b 4.874
_cell_length_c 4.874
_cell_angle_alpha 90.00
_cell_angle_beta 90.00
_cell_angle_gamma 90.00
loop_
_atom_site_label
_atom_site_type_symbol
_atom_site_fract_x
_atom_site_fract_y
_atom_site_fract_z
_atom_site_occupancy
Hg1 Hg 0.000 0.000 0.000 1
Mo1 Mo 0.000 0.000 0.500 1
As1 As 0.500 0.500 0.500 1

=====

# HgMo2As | Alexandria | GGA-PBEsol | optimized geometry
# Energy of formation from the pure elements (eV per atom): 0.424
data_HgMo2As
_symmetry_space_group_name_H-M 'P 4/m m m'
_symmetry_Int_Tables_number 123
_symmetry_space_group_name_Hall '-P 4 2'
_cell_length_a 4.539
_cell_length_b 4.539
_cell_length_c 3.101
_cell_angle_alpha 90.00
_cell_angle_beta 90.00
_cell_angle_gamma 90.00
loop_
_atom_site_label
_atom_site_type_symbol
_atom_site_fract_x
_atom_site_fract_y
_atom_site_fract_z
_atom_site_occupancy
Hg1 Hg 0.000 0.000 0.000 1
Mo1 Mo 0.000 0.500 0.500 1
As1 As 0.500 0.500 0.000 1

=====

# HgMo4As | Alexandria | GGA-PBEsol | optimized geometry
# Energy of formation from the pure elements (eV per atom): 0.631
data_HgMo4As
_symmetry_space_group_name_H-M 'F -4 3 m'
_symmetry_Int_Tables_number 216
_symmetry_space_group_name_Hall 'F -4 2 3'
_cell_length_a 7.412
_cell_length_b 7.412
_cell_length_c 7.412
_cell_angle_alpha 90.00
_cell_angle_beta 90.00
_cell_angle_gamma 90.00
loop_
_atom_site_label
_atom_site_type_symbol
_atom_site_fract_x
_atom_site_fract_y
_atom_site_fract_z
_atom_site_occupancy
Hg1 Hg 0.000 0.000 0.000 1
Mo1 Mo 0.127 0.127 0.627 1
As1 As 0.250 0.250 0.250 1

=====

# HgMoAsSe2 | Alexandria | GGA-PBEsol | optimized geometry
# Raw formation energy (eV/atom): 0.232
data_HgMoAsSe2
_symmetry_space_group_name_H-M 'P 4/m m m'
_symmetry_Int_Tables_number 123
_symmetry_space_group_name_Hall '-P 4 2'
_cell_length_a 4.864
_cell_length_b 4.864
_cell_length_c 4.927
_cell_angle_alpha 90.00
_cell_angle_beta 90.00
_cell_angle_gamma 90.00
loop_
_atom_site_label
_atom_site_type_symbol
_atom_site_fract_x
_atom_site_fract_y
_atom_site_fract_z
_atom_site_occupancy
Hg1 Hg 0.000 0.000 0.000 1
Mo1 Mo 0.500 0.500 0.500 1
As1 As 0.500 0.500 0.000 1
Se1 Se 0.000 0.500 0.500 1

=====

# Na3HgAs | Alexandria | GGA-PBEsol | optimized geometry
# Energy of formation from the pure elements (eV per atom): -0.195
data_Na3HgAs
_symmetry_space_group_name_H-M 'P m -3 m'
_symmetry_Int_Tables_number 221
_symmetry_space_group_name_Hall '-P 4 2 3'
_cell_length_a 5.501
_cell_length_b 5.501
_cell_length_c 5.501
_cell_angle_alpha 90.00
_cell_angle_beta 90.00
_cell_angle_gamma 90.00
loop_
_atom_site_label
_atom_site_type_symbol
_atom_site_fract_x
_atom_site_fract_y
_atom_site_fract_z
_atom_site_occupancy
Na1 Na 0.000 0.000 0.500 1
Hg1 Hg 0.500 0.500 0.500 1
As1 As 0.000 0.000 0.000 1

=====

# Na2HgAs2 | Alexandria | GGA-PBEsol | optimized geometry
# Energy of formation from the pure elements (eV per atom): -0.264
data_Na2HgAs2
_symmetry_space_group_name_H-M 'P 4/m b m'
_symmetry_Int_Tables_number 127
_symmetry_space_group_name_Hall '-P 4 2ab'
_cell_length_a 7.010
_cell_length_b 7.010
_cell_length_c 4.710
_cell_angle_alpha 90.00
_cell_angle_beta 90.00
_cell_angle_gamma 90.00
loop_
_atom_site_label
_atom_site_type_symbol
_atom_site_fract_x
_atom_site_fract_y
_atom_site_fract_z
_atom_site_occupancy
Na1 Na 0.171 0.329 0.000 1
Hg1 Hg 0.000 0.000 0.500 1
As1 As 0.128 0.628 0.500 1

=====

# NaHgAsP2 | Alexandria | GGA-PBEsol | optimized geometry
# Energy of formation from the pure elements (eV per atom): 0.474
data_NaHgAsP2
_symmetry_space_group_name_H-M 'P 4/m m m'
_symmetry_Int_Tables_number 123
_symmetry_space_group_name_Hall '-P 4 2'
_cell_length_a 4.808
_cell_length_b 4.808
_cell_length_c 5.271
_cell_angle_alpha 90.00
_cell_angle_beta 90.00
_cell_angle_gamma 90.00
loop_
_atom_site_label
_atom_site_type_symbol
_atom_site_fract_x
_atom_site_fract_y
_atom_site_fract_z
_atom_site_occupancy
Na1 Na 0.000 0.000 0.000 1
Hg1 Hg 0.500 0.500 0.000 1
As1 As 0.500 0.500 0.500 1
P1 P 0.000 0.500 0.500 1

=====

# NiHg2As | Alexandria | GGA-PBEsol | optimized geometry
# Energy of formation from the pure elements (eV per atom): 0.061
data_NiHg2As
_symmetry_space_group_name_H-M 'I m m m'
_symmetry_Int_Tables_number 71
_symmetry_space_group_name_Hall '-I 2 2'
_cell_length_a 2.925
_cell_length_b 3.818
_cell_length_c 13.246
_cell_angle_alpha 90.00
_cell_angle_beta 90.00
_cell_angle_gamma 90.00
loop_
_atom_site_label
_atom_site_type_symbol
_atom_site_fract_x
_atom_site_fract_y
_atom_site_fract_z
_atom_site_occupancy
Ni1 Ni 0.000 0.000 0.000 1
Hg1 Hg 0.000 0.500 0.320 1
As1 As 0.000 0.000 0.500 1

=====

# NiSn2HgAs | Alexandria | GGA-PBEsol | optimized geometry
# Energy of formation from the pure elements (eV per atom): 0.210
data_NiSn2HgAs
_symmetry_space_group_name_H-M 'P 4/m m m'
_symmetry_Int_Tables_number 123
_symmetry_space_group_name_Hall '-P 4 2'
_cell_length_a 4.855
_cell_length_b 4.855
_cell_length_c 4.867
_cell_angle_alpha 90.00
_cell_angle_beta 90.00
_cell_angle_gamma 90.00
loop_
_atom_site_label
_atom_site_type_symbol
_atom_site_fract_x
_atom_site_fract_y
_atom_site_fract_z
_atom_site_occupancy
Ni1 Ni 0.000 0.000 0.000 1
Sn1 Sn 0.000 0.500 0.000 1
Hg1 Hg 0.000 0.000 0.500 1
As1 As 0.500 0.500 0.500 1

=====

# YNiHg2As | Alexandria | GGA-PBEsol | optimized geometry
# Energy of formation from the pure elements (eV per atom): 0.106
data_YNiHg2As
_symmetry_space_group_name_H-M 'P 4/m m m'
_symmetry_Int_Tables_number 123
_symmetry_space_group_name_Hall '-P 4 2'
_cell_length_a 5.190
_cell_length_b 5.190
_cell_length_c 4.265
_cell_angle_alpha 90.00
_cell_angle_beta 90.00
_cell_angle_gamma 90.00
loop_
_atom_site_label
_atom_site_type_symbol
_atom_site_fract_x
_atom_site_fract_y
_atom_site_fract_z
_atom_site_occupancy
Y1 Y 0.000 0.000 0.000 1
Ni1 Ni 0.500 0.500 0.000 1
Hg1 Hg 0.000 0.500 0.500 1
As1 As 0.500 0.500 0.500 1

=====

# HgAs2O | Alexandria | GGA-PBEsol | optimized geometry
# Raw formation energy (eV/atom): 0.472
data_HgAs2O
_symmetry_space_group_name_H-M 'F m -3 m'
_symmetry_Int_Tables_number 225
_symmetry_space_group_name_Hall '-F 4 2 3'
_cell_length_a 6.355
_cell_length_b 6.355
_cell_length_c 6.355
_cell_angle_alpha 90.00
_cell_angle_beta 90.00
_cell_angle_gamma 90.00
loop_
_atom_site_label
_atom_site_type_symbol
_atom_site_fract_x
_atom_site_fract_y
_atom_site_fract_z
_atom_site_occupancy
Hg1 Hg 0.000 0.000 0.000 1
As1 As 0.250 0.250 0.250 1
O1 O 0.000 0.000 0.500 1

=====

# HgAsPO2 | Alexandria | GGA-PBEsol | optimized geometry
# Raw formation energy (eV/atom): 0.769
data_HgAsPO2
_symmetry_space_group_name_H-M 'P 4/m m m'
_symmetry_Int_Tables_number 123
_symmetry_space_group_name_Hall '-P 4 2'
_cell_length_a 4.039
_cell_length_b 4.039
_cell_length_c 5.049
_cell_angle_alpha 90.00
_cell_angle_beta 90.00
_cell_angle_gamma 90.00
loop_
_atom_site_label
_atom_site_type_symbol
_atom_site_fract_x
_atom_site_fract_y
_atom_site_fract_z
_atom_site_occupancy
Hg1 Hg 0.000 0.000 0.000 1
As1 As 0.500 0.500 0.500 1
P1 P 0.000 0.000 0.500 1
O1 O 0.000 0.500 0.000 1

=====

Here are the calculated VASP energy numbers, same order: -12.69 -12.73 -7.73 -16.69 -24.29 -14.83 -15.25 -22.88 -27.51 -27.51 -48.96 -23.98 -10.85 -14.90 -16.29 -12.15 -19.30 -18.69 -14.14 -18.12 (eV per formula unit).
Here are the calculated total magnetization numbers, same order: 0.00 0.00 0.00 1.18 5.92 8.54 5.05 1.22 1.32 0.00 0.00 0.00 0.00 0.00 0.00 0.00 0.00 0.00 0.00 0.00 (μB/cell).